Entry 1:
# ZrCdIr2 PBE optimized geometry
data_ZrCdIr2
_chemical_formula_sum 'Zr2 Cd2 Ir4'
_space_group_name_H-M_alt 'C 1 m 1'
_space_group_IT_number 8
_cell_length_a 10.282
_cell_length_b 2.916
_cell_length_c 4.883
_cell_angle_alpha 90.00
_cell_angle_beta 104.52
_cell_angle_gamma 90.00
loop_
_space_group_symop_operation_xyz
'x,y,z'
'x,-y,z'
'x+1/2,y+1/2,z'
'x+1/2,-y+1/2,z'
loop_
_atom_site_label
_atom_site_type_symbol
_atom_site_fract_x
_atom_site_fract_y
_atom_site_fract_z
_atom_site_occupancy
Zr1 Zr 0.000 0.000 0.000 1
Cd1 Cd 0.209 0.000 0.646 1
Ir1 Ir 0.256 0.500 0.167 1
Ir2 Ir 0.457 0.000 0.479 1
# Volume in Å³/atom: 17.7
# Calculated density in g/cm³: 13.78

=====

Entry 2:
# ZrCdIr2 PBE optimized geometry
data_ZrCdIr2
_chemical_formula_sum 'Zr1 Cd1 Ir2'
_space_group_name_H-M_alt 'P 4/m m m'
_space_group_IT_number 123
_space_group_name_Hall '-P 4 2'
_cell_length_a 4.337
_cell_length_b 4.337
_cell_length_c 3.656
_cell_angle_alpha 90.00
_cell_angle_beta 90.00
_cell_angle_gamma 90.00
loop_
_atom_site_label
_atom_site_type_symbol
_atom_site_fract_x
_atom_site_fract_y
_atom_site_fract_z
_atom_site_occupancy
Zr1 Zr 0.000 0.000 0.000 1
Cd1 Cd 0.500 0.500 0.000 1
Ir1 Ir 0.000 0.500 0.500 1
# Volume in Å³/atom: 17.2
# Calculated density in g/cm³: 14.20

=====

Entry 3:
# ZrCd2Ir PBE optimized geometry
data_ZrCd2Ir
_chemical_formula_sum 'Zr1 Cd2 Ir1'
_space_group_name_H-M_alt 'P 4/m m m'
_space_group_IT_number 123
_space_group_name_Hall '-P 4 2'
_cell_length_a 3.010
_cell_length_b 3.010
_cell_length_c 8.501
_cell_angle_alpha 90.00
_cell_angle_beta 90.00
_cell_angle_gamma 90.00
loop_
_atom_site_label
_atom_site_type_symbol
_atom_site_fract_x
_atom_site_fract_y
_atom_site_fract_z
_atom_site_occupancy
Zr1 Zr 0.000 0.000 0.000 1
Cd1 Cd 0.500 0.500 0.278 1
Ir1 Ir 0.000 0.000 0.500 1
# Volume in Å³/atom: 19.3
# Calculated density in g/cm³: 10.96

=====

Entry 4:
# ZrCdIr PBE optimized geometry
data_ZrCdIr
_chemical_formula_sum 'Zr8 Cd8 Ir8'
_space_group_name_H-M_alt 'F m m m'
_space_group_IT_number 69
_space_group_name_Hall '-F 2 2'
_cell_length_a 6.290
_cell_length_b 7.139
_cell_length_c 11.406
_cell_angle_alpha 90.00
_cell_angle_beta 90.00
_cell_angle_gamma 90.00
loop_
_atom_site_label
_atom_site_type_symbol
_atom_site_fract_x
_atom_site_fract_y
_atom_site_fract_z
_atom_site_occupancy
Zr1 Zr 0.250 0.250 0.250 1
Cd1 Cd 0.000 0.182 0.000 1
Ir1 Ir 0.000 0.000 0.370 1
# Volume in Å³/atom: 21.3
# Calculated density in g/cm³: 10.27

=====

Entry 5:
# ZrCd2Ir PBE optimized geometry
data_ZrCd2Ir
_chemical_formula_sum 'Zr1 Cd2 Ir1'
_space_group_name_H-M_alt 'P m m m'
_space_group_IT_number 47
_cell_length_a 2.998
_cell_length_b 4.501
_cell_length_c 5.650
_cell_angle_alpha 90.00
_cell_angle_beta 90.00
_cell_angle_gamma 90.00
loop_
_space_group_symop_operation_xyz
'x,y,z'
'-x,-y,-z'
'-x,-y,z'
'x,y,-z'
'x,-y,-z'
'-x,y,z'
'-x,y,-z'
'x,-y,z'
loop_
_atom_site_label
_atom_site_type_symbol
_atom_site_fract_x
_atom_site_fract_y
_atom_site_fract_z
_atom_site_occupancy
Zr1 Zr 0.000 0.000 0.000 1
Cd1 Cd 0.500 0.500 0.261 1
Ir1 Ir 0.000 0.000 0.500 1
# Volume in Å³/atom: 19.1
# Calculated density in g/cm³: 11.07

=====

Entry 6:
# ZrCdIr2 PBE optimized geometry
data_ZrCdIr2
_chemical_formula_sum 'Zr2 Cd2 Ir4'
_space_group_name_H-M_alt 'I -4 m 2'
_space_group_IT_number 119
_space_group_name_Hall 'I -4 -2'
_cell_length_a 3.957
_cell_length_b 3.957
_cell_length_c 8.812
_cell_angle_alpha 90.00
_cell_angle_beta 90.00
_cell_angle_gamma 90.00
loop_
_atom_site_label
_atom_site_type_symbol
_atom_site_fract_x
_atom_site_fract_y
_atom_site_fract_z
_atom_site_occupancy
Zr1 Zr 0.000 0.000 0.000 1
Cd1 Cd 0.000 0.500 0.750 1
Ir1 Ir 0.000 0.000 0.500 1
Ir2 Ir 0.000 0.500 0.250 1
# Volume in Å³/atom: 17.2
# Calculated density in g/cm³: 14.16

=====

Entry 7:
# ZrCdIr2 PBE optimized geometry
data_ZrCdIr2
_chemical_formula_sum 'Zr3 Cd3 Ir6'
_space_group_name_H-M_alt 'R -3 m'
_space_group_IT_number 166
_space_group_name_Hall '-R 3 2"'
_cell_length_a 3.0888
_cell_length_b 3.0888
_cell_length_c 26.4907
_cell_angle_alpha 90.00
_cell_angle_beta 90.00
_cell_angle_gamma 120.00
loop_
_atom_site_label
_atom_site_type_symbol
_atom_site_fract_x
_atom_site_fract_y
_atom_site_fract_z
_atom_site_occupancy
Zr1 Zr 0.0000 0.0000 0.0000 1
Cd1 Cd 0.0000 0.0000 0.5000 1
Ir1 Ir 0.0000 0.0000 0.2557 1
# Volume in Å³/atom: 18.2
# Calculated density in g/cm³: 13.38

=====

Entry 8:
# ZrCd2Ir PBE optimized geometry
data_ZrCd2Ir
_chemical_formula_sum 'Zr2 Cd4 Ir2'
_space_group_name_H-M_alt 'I 4/m m m'
_space_group_IT_number 139
_space_group_name_Hall '-I 4 2'
_cell_length_a 4.074
_cell_length_b 4.074
_cell_length_c 9.270
_cell_angle_alpha 90.00
_cell_angle_beta 90.00
_cell_angle_gamma 90.00
loop_
_atom_site_label
_atom_site_type_symbol
_atom_site_fract_x
_atom_site_fract_y
_atom_site_fract_z
_atom_site_occupancy
Zr1 Zr 0.000 0.000 0.000 1
Cd1 Cd 0.000 0.500 0.250 1
Ir1 Ir 0.000 0.000 0.500 1
# Volume in Å³/atom: 19.2
# Calculated density in g/cm³: 10.97

=====

ΔH_f (0 K): -0.28, -0.46, 0.08, -0.31, -0.02, -0.34, -0.15, -0.11 (eV/atom)